# 1
A plane-wave DFT calculation with PBE was carried out for crystalline K3AlPb at its relaxed geometry.

a b c (Å): 6.743 6.743 6.743
angles (deg): 90.00 90.00 90.00
Atoms (fractional coordinates):
K  0.000  0.000  0.500
K  0.000  0.500  0.000
K  0.500  0.000  0.000
Al  0.500  0.500  0.500
Pb  0.000  0.000  0.000

The density of states at the Fermi level is 1.398 states/eV/atom. As for the formation energy from the elements: 0.525 eV/atom.

=====

# 2
A plane-wave DFT calculation with PBE was carried out for crystalline CuRh2Cl6 at its relaxed geometry.

a b c (Å): 6.897 6.897 9.486
angles (deg): 109.60 109.60 30.65
Atoms (fractional coordinates):
Cu  0.000  0.000  0.000
Rh  0.338  0.338  0.659
Rh  0.662  0.662  0.341
Cl  0.035  0.035  0.304
Cl  0.298  0.298  0.393
Cl  0.367  0.367  0.916
Cl  0.633  0.633  0.084
Cl  0.702  0.702  0.607
Cl  0.965  0.965  0.696

The formation energy from raw total energies is -0.42 eV/atom. The density of states at the Fermi level is 0.879 states/eV/atom.

=====

# 3
A plane-wave DFT calculation with PBE was carried out for crystalline Sr2Li3Mg at its relaxed geometry.

a b c (Å): 6.448 6.448 6.471
angles (deg): 119.90 119.90 59.53
Atoms (fractional coordinates):
Sr  0.126  0.126  0.373
Sr  0.874  0.874  0.627
Li  0.000  0.500  0.000
Li  0.500  0.000  0.000
Li  0.500  0.500  0.500
Mg  0.500  0.500  0.000

The density of states at the Fermi level is 0.881 states/eV/atom. As for the formation energy from the elements: -0.021 eV/atom.

=====

What is the formula in the third record? Sr2Li3Mg